Compound: Pr5Cd4In
Source: the Alexandria database
Functional: PBE
Structure: optimized geometry

The space group is P4/mmm (No. 123) and the conventional cell measures 3.863, 3.863 and 19.710 Å, with angles of 90.00, 90.00 and 90.00 degrees. Symmetry generates all atoms from Pr at (0.000, 0.000, 0.000), Pr at (0.000, 0.000, 0.199), Pr at (0.000, 0.000, 0.399), Cd at (0.500, 0.500, 0.100), Cd at (0.500, 0.500, 0.298) and In at (0.500, 0.500, 0.500).

The formation energy comes out at -3.49 eV/f.u. Its total energy is -33.786 eV/f.u. Its size of the total moment is 1.3 μB per formula unit. Its density of states at the Fermi level is 13.1 states/eV/cell.

Compound: Pr3Cd5In2
Source: the Alexandria database
Functional: PBE
Structure: optimized geometry

The space group is C2/c (No. 15) and the conventional cell measures 12.286, 13.639 and 6.635 Å, with angles of 90.00, 103.28 and 90.00 degrees. Symmetry generates all atoms from Pr at (0.000, 0.025, 0.250), Pr at (0.110, 0.266, 0.072), Cd at (0.000, 0.497, 0.250), Cd at (0.148, 0.366, 0.564), Cd at (0.240, 0.044, 0.053) and In at (0.141, 0.160, 0.614).

The formation energy comes out at -2.92 eV/f.u. Its total energy is -27.309 eV/f.u. Its size of the total moment is 0.0 μB per formula unit. Its density of states at the Fermi level is 27.1 states/eV/cell.

Compound: Pr3Cd2In2
Source: the Alexandria database
Functional: PBE
Structure: optimized geometry

The space group is Cmmm (No. 65) and the conventional cell measures 4.831, 22.727 and 3.587 Å, with angles of 90.00, 90.00 and 90.00 degrees. Symmetry generates all atoms from Pr at (0.000, 0.000, 0.000), Pr at (0.000, 0.154, 0.000), Cd at (0.000, 0.284, 0.500) and In at (0.000, 0.423, 0.500).

The formation energy comes out at -2.80 eV/f.u. Its total energy is -24.441 eV/f.u. Its size of the total moment is 0.0 μB per formula unit. Its density of states at the Fermi level is 14.4 states/eV/cell.

Compound: Pr6Cd3In
Source: the Alexandria database
Functional: PBE
Structure: optimized geometry

The space group is P2_1/m (No. 11) and the conventional cell measures 9.657, 5.462 and 12.121 Å, with angles of 90.00, 107.32 and 90.00 degrees. Symmetry generates all atoms from Pr at (0.038, 0.250, 0.414), Pr at (0.159, 0.750, 0.176), Pr at (0.239, 0.250, 0.996), Pr at (0.339, 0.750, 0.803), Pr at (0.370, 0.250, 0.344), Pr at (0.407, 0.250, 0.626), Cd at (0.031, 0.750, 0.873), Cd at (0.111, 0.250, 0.714), Cd at (0.269, 0.750, 0.475) and In at (0.456, 0.750, 0.093).

The formation energy comes out at -2.64 eV/f.u. Its total energy is -36.802 eV/f.u. Its size of the total moment is 0.0 μB per formula unit. Its density of states at the Fermi level is 20.9 states/eV/cell.

Copy entry 1 word for word.
Compound: Pr5Cd4In
Source: the Alexandria database
Functional: PBE
Structure: optimized geometry

The space group is P4/mmm (No. 123) and the conventional cell measures 3.863, 3.863 and 19.710 Å, with angles of 90.00, 90.00 and 90.00 degrees. Symmetry generates all atoms from Pr at (0.000, 0.000, 0.000), Pr at (0.000, 0.000, 0.199), Pr at (0.000, 0.000, 0.399), Cd at (0.500, 0.500, 0.100), Cd at (0.500, 0.500, 0.298) and In at (0.500, 0.500, 0.500).

The formation energy comes out at -3.49 eV/f.u. Its total energy is -33.786 eV/f.u. Its size of the total moment is 1.3 μB per formula unit. Its density of states at the Fermi level is 13.1 states/eV/cell.

Q: What is the formation energy in the second record?
A: -2.92 eV/f.u.

Q: Which value of formation energy does entry 1 give?
A: -3.49 eV/f.u.